Density functional theory data (PBE) for LaPr8Sm6 after structural relaxation.

Calculated values
As for the space-group type: R-3. For the electronic total energy, the calculation gives -69.74 eV per cell. As for the crystal system: trigonal.

Unit cell a=9.328 b=9.328 c=8.904 alpha=58.41 beta=58.41 gamma=60.00
Positions (direct):
La (0.000, 0.000, 0.000)
Pr (0.886, 0.285, 0.580)
Pr (0.751, 0.114, 0.420)
Pr (0.715, 0.751, 0.420)
Pr (0.422, 0.422, 0.734)
Pr (0.578, 0.578, 0.266)
Pr (0.285, 0.249, 0.580)
Pr (0.249, 0.886, 0.580)
Pr (0.114, 0.715, 0.420)
Sm (0.097, 0.536, 0.120)
Sm (0.754, 0.903, 0.880)
Sm (0.464, 0.754, 0.880)
Sm (0.536, 0.246, 0.120)
Sm (0.246, 0.097, 0.120)
Sm (0.903, 0.464, 0.880)